No. 1
Crystalline CsMgBi at its relaxed geometry, computed with PBE.

calculated total energy = -2.436 eV/atom
magnetic moment = 0.00 μB/cell
ΔE_f = -0.326 eV/atom
SG = No. 8

abc: 7.9479 7.9479 11.2046
angles: 116.05 116.05 36.35
With the nearest neighbours (Å) after each atom.
Fractional coordinates of all 6 atoms:
Cs1 0.0000 0.0000 0.0000  4 Bi 3.94-3.96, 2 Mg 4.26
Cs2 0.0102 0.0102 0.5063  4 Mg 4.01-4.47, 4 Bi 4.14-4.16
Mg1 0.2324 0.2324 0.4049  3 Bi 2.91-2.96, 2 Mg 3.09
Mg2 0.7785 0.7785 0.5891  3 Bi 2.91-2.94, 2 Mg 3.09
Bi1 0.3891 0.3891 0.6891  3 Mg 2.91-2.96
Bi2 0.6207 0.6207 0.3078  3 Mg 2.91-2.94

No. 2
Crystalline Tm5MgAl4 at its relaxed geometry, computed with PBE.

calculated total energy = -4.221 eV/atom
magnetic moment = 0.00 μB/cell
ΔE_f = -0.328 eV/atom
SG = No. 123

abc: 3.5663 3.5663 18.1751
angles: 90.00 90.00 90.00
With the nearest neighbours (Å) after each atom.
Fractional coordinates of all 10 atoms:
Tm1 0.0000 0.0000 0.0000  8 Al 3.07
Tm2 0.0000 0.0000 0.1940  8 Al 3.08-3.10
Tm3 0.0000 0.0000 0.3890  4 Al 3.07, 4 Mg 3.23
Tm4 0.0000 0.0000 0.6110  4 Al 3.07, 4 Mg 3.23
Tm5 0.0000 0.0000 0.8060  8 Al 3.08-3.10
Mg1 0.5000 0.5000 0.5000  8 Tm 3.23, 4 Mg 3.57
Al1 0.5000 0.5000 0.0967  8 Tm 3.07-3.08
Al2 0.5000 0.5000 0.2931  8 Tm 3.07-3.10
Al3 0.5000 0.5000 0.7069  8 Tm 3.07-3.10
Al4 0.5000 0.5000 0.9033  8 Tm 3.07-3.08

No. 3
Crystalline Zn2Ir at its relaxed geometry, computed with PBE.

calculated total energy = -3.854 eV/atom
magnetic moment = 0.00 μB/cell
ΔE_f = -0.051 eV/atom
SG = No. 141

abc: 11.7439 11.7439 11.7439
angles: 166.23 166.23 19.52
With the nearest neighbours (Å) after each atom.
Fractional coordinates of all 6 atoms:
Zn1 0.2990 0.5490 0.7500  4 Ir 2.66, 6 Zn 2.67-2.82
Zn2 0.4510 0.7010 0.7500  4 Ir 2.66, 6 Zn 2.67-2.82
Zn3 0.5490 0.2990 0.2500  4 Ir 2.66, 6 Zn 2.67-2.82
Zn4 0.7010 0.4510 0.2500  4 Ir 2.66, 6 Zn 2.67-2.82
Ir1 0.1250 0.8750 0.2500  8 Zn 2.66, 4 Ir 2.82
Ir2 0.8750 0.1250 0.7500  8 Zn 2.66, 4 Ir 2.82

No. 4
Crystalline YInBr2 at its relaxed geometry, computed with PBE.

ΔE_f (raw) = -0.715 eV per atom
calculated total energy = -3.852 eV/atom
E above lowest polymorph = 0.3248 eV per atom
magnetic moment = 0.00 μB/cell
SG = No. 122

abc: 10.5162 10.5162 10.5162
angles: 152.46 152.46 39.35
With the nearest neighbours (Å) after each atom.
Fractional coordinates of all 8 atoms:
Y1 0.0000 0.0000 0.0000  4 Br 2.99
Y2 0.7500 0.2500 0.5000  4 Br 2.99
In1 0.2500 0.7500 0.5000  4 Br 3.10
In2 0.5000 0.5000 0.0000  4 Br 3.10
Br1 0.0978 0.6250 0.9728  2 Y 2.99, 2 In 3.10
Br2 0.3750 0.3478 0.4728  2 Y 2.99, 2 In 3.10
Br3 0.6522 0.1250 0.0272  2 Y 2.99, 2 In 3.10
Br4 0.8750 0.9022 0.5272  2 Y 2.99, 2 In 3.10

No. 5
Crystalline Ac12Te3Ir5 at its relaxed geometry, computed with PBE.

ΔE_f (raw) = -0.584 eV per atom
calculated total energy = -5.735 eV/atom
magnetic moment = 0.00 μB/cell
SG = No. 230

abc: 16.0521 16.0521 16.0521
angles: 109.47 109.47 109.47
With the nearest neighbours (Å) after each atom.
Fractional coordinates of all 80 atoms:
Ac1 0.0265 0.2032 0.1176  2 Ir 2.80-2.97
Ac2 0.0265 0.3233 0.9089  2 Ir 2.80-2.97
Ac3 0.0856 0.7032 0.6767  2 Ir 2.80-2.97
Ac4 0.0856 0.8824 0.4089  2 Ir 2.80-2.97
Ac5 0.0911 0.6176 0.4144  2 Ir 2.80-2.97
Ac6 0.0911 0.9735 0.6767  2 Ir 2.80-2.97
Ac7 0.1176 0.0265 0.2032  2 Ir 2.80-2.97
Ac8 0.1176 0.5911 0.9144  2 Ir 2.80-2.97
Ac9 0.1767 0.2032 0.5856  2 Ir 2.80-2.97
Ac10 0.1767 0.4735 0.5911  2 Ir 2.80-2.97
Ac11 0.2032 0.1176 0.0265  2 Ir 2.80-2.97
Ac12 0.2032 0.5856 0.1767  2 Ir 2.80-2.97
Ac13 0.2968 0.3233 0.9144  2 Ir 2.80-2.97
Ac14 0.2968 0.4735 0.3824  2 Ir 2.80-2.97
Ac15 0.3233 0.9089 0.0265  2 Ir 2.80-2.97
Ac16 0.3233 0.9144 0.2968  2 Ir 2.80-2.97
Ac17 0.3824 0.2968 0.4735  2 Ir 2.80-2.97
Ac18 0.3824 0.5856 0.9089  2 Ir 2.80-2.97
Ac19 0.4089 0.0856 0.8824  2 Ir 2.80-2.97
Ac20 0.4089 0.8233 0.5265  2 Ir 2.80-2.97
Ac21 0.4144 0.0911 0.6176  2 Ir 2.80-2.97
Ac22 0.4144 0.8233 0.7968  2 Ir 2.80-2.97
Ac23 0.4735 0.3824 0.2968  2 Ir 2.80-2.97
Ac24 0.4735 0.5911 0.1767  2 Ir 2.80-2.97
Ac25 0.5265 0.4089 0.8233  2 Ir 2.80-2.97
Ac26 0.5265 0.6176 0.7032  2 Ir 2.80-2.97
Ac27 0.5856 0.1767 0.2032  2 Ir 2.80-2.97
Ac28 0.5856 0.9089 0.3824  2 Ir 2.80-2.97
Ac29 0.5911 0.1767 0.4735  2 Ir 2.80-2.97
Ac30 0.5911 0.9144 0.1176  2 Ir 2.80-2.97
Ac31 0.6176 0.4144 0.0911  2 Ir 2.80-2.97
Ac32 0.6176 0.7032 0.5265  2 Ir 2.80-2.97
Ac33 0.6767 0.0856 0.7032  2 Ir 2.80-2.97
Ac34 0.6767 0.0911 0.9735  2 Ir 2.80-2.97
Ac35 0.7032 0.5265 0.6176  2 Ir 2.80-2.97
Ac36 0.7032 0.6767 0.0856  2 Ir 2.80-2.97
Ac37 0.7968 0.4144 0.8233  2 Ir 2.80-2.97
Ac38 0.7968 0.8824 0.9735  2 Ir 2.80-2.97
Ac39 0.8233 0.5265 0.4089  2 Ir 2.80-2.97
Ac40 0.8233 0.7968 0.4144  2 Ir 2.80-2.97
Ac41 0.8824 0.4089 0.0856  2 Ir 2.80-2.97
Ac42 0.8824 0.9735 0.7968  2 Ir 2.80-2.97
Ac43 0.9089 0.0265 0.3233  2 Ir 2.80-2.97
Ac44 0.9089 0.3824 0.5856  2 Ir 2.80-2.97
Ac45 0.9144 0.1176 0.5911  2 Ir 2.80-2.97
Ac46 0.9144 0.2968 0.3233  2 Ir 2.80-2.97
Ac47 0.9735 0.6767 0.0911  2 Ir 2.80-2.97
Ac48 0.9735 0.7968 0.8824  2 Ir 2.80-2.97
Te1 0.1250 0.2500 0.3750  8 Ac 3.59-3.66
Te2 0.1250 0.3750 0.7500  8 Ac 3.59-3.66
Te3 0.2500 0.3750 0.1250  8 Ac 3.59-3.66
Te4 0.2500 0.8750 0.6250  8 Ac 3.59-3.66
Te5 0.3750 0.1250 0.2500  8 Ac 3.59-3.66
Te6 0.3750 0.7500 0.1250  8 Ac 3.59-3.66
Te7 0.6250 0.2500 0.8750  8 Ac 3.59-3.66
Te8 0.6250 0.8750 0.7500  8 Ac 3.59-3.66
Te9 0.7500 0.1250 0.3750  8 Ac 3.59-3.66
Te10 0.7500 0.6250 0.8750  8 Ac 3.59-3.66
Te11 0.8750 0.6250 0.2500  8 Ac 3.59-3.66
Te12 0.8750 0.7500 0.6250  8 Ac 3.59-3.66
Ir1 0.0000 0.0000 0.0000  6 Ac 2.97
Ir2 0.0000 0.0000 0.5000  6 Ac 2.97
Ir3 0.0000 0.5000 0.0000  6 Ac 2.97
Ir4 0.0000 0.5000 0.5000  6 Ac 2.97
Ir5 0.1250 0.7500 0.8750  4 Ac 2.80
Ir6 0.1250 0.8750 0.2500  4 Ac 2.80
Ir7 0.2500 0.1250 0.8750  4 Ac 2.80
Ir8 0.2500 0.6250 0.3750  4 Ac 2.80
Ir9 0.3750 0.2500 0.6250  4 Ac 2.80
Ir10 0.3750 0.6250 0.7500  4 Ac 2.80
Ir11 0.5000 0.0000 0.0000  6 Ac 2.97
Ir12 0.5000 0.0000 0.5000  6 Ac 2.97
Ir13 0.5000 0.5000 0.0000  6 Ac 2.97
Ir14 0.5000 0.5000 0.5000  6 Ac 2.97
Ir15 0.6250 0.3750 0.2500  4 Ac 2.80
Ir16 0.6250 0.7500 0.3750  4 Ac 2.80
Ir17 0.7500 0.3750 0.6250  4 Ac 2.80
Ir18 0.7500 0.8750 0.1250  4 Ac 2.80
Ir19 0.8750 0.1250 0.7500  4 Ac 2.80
Ir20 0.8750 0.2500 0.1250  4 Ac 2.80

No. 6
Crystalline DyHo5Th4 at its relaxed geometry, computed with PBE.

calculated total energy = -5.319 eV/atom
E above lowest polymorph = 0.2897 eV per atom
magnetic moment = 0.00 μB/cell
ΔE_f = 0.399 eV/atom
SG = No. 59

abc: 6.7097 11.6771 8.5442
angles: 90.00 90.00 90.00
With the nearest neighbours (Å) after each atom.
Fractional coordinates of all 20 atoms:
Dy1 0.2500 0.2500 0.0415  6 Ho 3.80-3.99, 8 Th 3.81-4.14
Dy2 0.7500 0.7500 0.9585  6 Ho 3.80-3.99, 8 Th 3.81-4.14
Ho1 0.0101 0.0333 0.3153  3 Ho 3.08-3.25, 2 Th 3.32-3.33
Ho2 0.0101 0.4667 0.3153  3 Ho 3.08-3.25, 2 Th 3.32-3.33
Ho3 0.2500 0.7500 0.7046  4 Ho 3.08, 4 Th 3.27-3.40
Ho4 0.4899 0.0333 0.3153  3 Ho 3.08-3.25, 2 Th 3.32-3.33
Ho5 0.4899 0.4667 0.3153  3 Ho 3.08-3.25, 2 Th 3.32-3.33
Ho6 0.5101 0.5333 0.6847  3 Ho 3.08-3.25, 2 Th 3.32-3.33
Ho7 0.5101 0.9667 0.6847  3 Ho 3.08-3.25, 2 Th 3.32-3.33
Ho8 0.7500 0.2500 0.2954  4 Ho 3.08, 4 Th 3.27-3.40
Ho9 0.9899 0.5333 0.6847  3 Ho 3.08-3.25, 2 Th 3.32-3.33
Ho10 0.9899 0.9667 0.6847  3 Ho 3.08-3.25, 2 Th 3.32-3.33
Th1 0.0013 0.7500 0.3578  3 Ho 3.33-3.40, 4 Th 3.34-3.67
Th2 0.2500 0.6041 0.0317  5 Ho 3.27-3.54, 1 Th 3.41
Th3 0.2500 0.8959 0.0317  5 Ho 3.27-3.54, 1 Th 3.41
Th4 0.4987 0.7500 0.3578  3 Ho 3.33-3.40, 4 Th 3.34-3.67
Th5 0.5013 0.2500 0.6422  3 Ho 3.33-3.40, 4 Th 3.34-3.67
Th6 0.7500 0.1041 0.9683  5 Ho 3.27-3.54, 1 Th 3.41
Th7 0.7500 0.3959 0.9683  5 Ho 3.27-3.54, 1 Th 3.41
Th8 0.9987 0.2500 0.6422  3 Ho 3.33-3.40, 4 Th 3.34-3.67

No. 7
Crystalline MoRhSe2 at its relaxed geometry, computed with PBE.

ΔE_f (raw) = 0.389 eV per atom
calculated total energy = -5.899 eV/atom
E above lowest polymorph = 0.5637 eV per atom
magnetic moment = 0.00 μB/cell
SG = No. 47

abc: 3.0829 4.0715 5.4887
angles: 90.00 90.00 90.00
With the nearest neighbours (Å) after each atom.
Fractional coordinates of all 4 atoms:
Mo1 0.0000 0.0000 0.0000  4 Se 2.55
Rh1 0.5000 0.0000 0.5000  4 Se 2.55
Se1 0.0000 0.5000 0.5000  4 Rh 2.55
Se2 0.5000 0.5000 0.0000  4 Mo 2.55

No. 8
Crystalline ScMn3 at its relaxed geometry, computed with PBE.

calculated total energy = -8.157 eV/atom
magnetic moment = 8.90 μB/cell
ΔE_f = 0.303 eV/atom
SG = No. 44

abc: 5.2739 5.2739 5.2739
angles: 148.29 64.28 125.68
With the nearest neighbours (Å) after each atom.
Fractional coordinates of all 4 atoms:
Sc1 0.0000 0.0000 0.0000  10 Mn 2.74-2.86, 2 Sc 2.88
Mn1 0.1052 0.3483 0.7570  9 Mn 2.72-2.88, 3 Sc 2.74-2.81
Mn2 0.5122 0.0122 0.5000  8 Mn 2.72-2.88, 4 Sc 2.76-2.86
Mn3 0.5913 0.3483 0.2430  9 Mn 2.72-2.88, 3 Sc 2.74-2.81

No. 9
Crystalline Sr2CuSeN at its relaxed geometry, computed with PBE.

ΔE_f (raw) = -1.000 eV per atom
calculated total energy = -4.854 eV/atom
magnetic moment = 0.00 μB/cell
SG = No. 123

abc: 5.3223 5.3223 3.8045
angles: 90.00 90.00 90.00
With the nearest neighbours (Å) after each atom.
Fractional coordinates of all 5 atoms:
Sr1 0.0000 0.5000 0.0000  2 N 2.66
Sr2 0.5000 0.0000 0.0000  2 N 2.66
Cu1 0.0000 0.0000 0.5000  2 N 1.90
Se1 0.5000 0.5000 0.5000  8 Sr 3.27
N1 0.0000 0.0000 0.0000  2 Cu 1.90

No. 10
Crystalline NaPrHgSb at its relaxed geometry, computed with PBE.

ΔE_f (raw) = -0.539 eV per atom
calculated total energy = -3.169 eV/atom
magnetic moment = 0.00 μB/cell
SG = No. 216

abc: 5.4039 5.4039 5.4039
angles: 60.00 60.00 60.00
With the nearest neighbours (Å) after each atom.
Fractional coordinates of all 4 atoms:
Na1 0.0000 0.0000 0.0000  4 Sb 3.31, 4 Hg 3.31
Pr1 0.5000 0.5000 0.5000  4 Sb 3.31, 4 Hg 3.31
Hg1 0.2500 0.2500 0.2500  4 Pr 3.31, 4 Na 3.31
Sb1 0.7500 0.7500 0.7500  4 Pr 3.31, 4 Na 3.31